A.
Entry from the Alexandria database: a relaxed structure of AcSmCdIn (PBE-GGA).

Geometry as POSCAR:
```
AcSmCdIn
1.0
-1.2609 -3.7006 0.5502
3.7400 -1.2317 0.2868
-0.1961 1.2364 7.8662
Sm In Ac Cd
1 1 1 1
direct
0.5000 0.5000 0.6041 Sm
0.0000 0.0000 0.8301 In
0.5000 0.5000 0.1068 Ac
0.0000 0.0000 0.3870 Cd
```

Symmetry: P4mm (99)
Total magnetic moment, μB/f.u.: 0.0
N(E_F), states/eV/cell: 4.56

***

B.
Entry from the Alexandria database: a relaxed structure of AcSmCdIn (PBE-GGA).

Geometry as POSCAR:
```
AcSmCdIn
1.0
5.6189 0.0000 0.0000
2.8095 4.8661 0.0000
2.8095 1.6220 4.5878
In Ac Sm Cd
1 1 1 1
direct
0.2500 0.2500 0.2500 In
0.5000 0.5000 0.5000 Ac
0.0000 0.0000 0.0000 Sm
0.7500 0.7500 0.7500 Cd
```

Symmetry: F-43m (216)
Total magnetic moment, μB/f.u.: 0.0
N(E_F), states/eV/cell: 5.38

***

Relative energies with respect to the most stable structure, expressed in kJ/mol of atoms: A 0.0; B 1.4.

***

A.
Entry from the Alexandria database: a relaxed structure of AcCdInSn (PBE-GGA).

Geometry as POSCAR:
```
AcCdInSn
1.0
5.5081 0.0000 0.0000
2.7540 4.7701 0.0000
2.7540 1.5900 4.4973
Cd In Ac Sn
1 1 1 1
direct
0.0000 0.0000 0.0000 Cd
0.5000 0.5000 0.5000 In
0.7500 0.7500 0.7500 Ac
0.2500 0.2500 0.2500 Sn
```

Symmetry: F-43m (216)
Total magnetic moment, μB/f.u.: 0.0
N(E_F), states/eV/cell: 1.99

***

B.
Entry from the Alexandria database: a relaxed structure of AcCdInSn (PBE-GGA).

Geometry as POSCAR:
```
AcCdInSn
1.0
4.8184 0.0000 0.0000
0.0000 4.8628 0.0000
0.0000 0.0000 5.0291
In Cd Sn Ac
1 1 1 1
direct
0.5000 0.5000 0.0000 In
0.0000 0.0000 0.0000 Cd
0.5000 0.0000 0.5000 Sn
0.0000 0.5000 0.5000 Ac
```

Symmetry: Pmmm (47)
Total magnetic moment, μB/f.u.: 0.0
N(E_F), states/eV/cell: 2.00

***

Relative energies with respect to the most stable structure, expressed in kJ/mol of atoms: A 14.9; B 0.0.

***

A.
Entry from the Alexandria database: a relaxed structure of AcTbCdIn (PBE-GGA).

Geometry as POSCAR:
```
AcTbCdIn
1.0
-1.1090 4.4377 -3.2029
-3.4278 3.9975 1.8578
2.0415 5.0133 1.3715
Tb In Ac Cd
1 1 1 1
direct
0.5000 0.5000 0.5000 Tb
0.2500 0.2500 0.2500 In
0.0000 0.0000 0.0000 Ac
0.7500 0.7500 0.7500 Cd
```

Symmetry: F-43m (216)
Total magnetic moment, μB/f.u.: 0.0
N(E_F), states/eV/cell: 4.84

***

B.
Entry from the Alexandria database: a relaxed structure of AcTbCdIn (PBE-GGA).

Geometry as POSCAR:
```
AcTbCdIn
1.0
3.9152 0.0000 0.0000
0.0000 3.9152 0.0000
0.0000 0.0000 7.9195
Cd In Ac Tb
1 1 1 1
direct
0.0000 0.0000 0.3925 Cd
0.0000 0.0000 0.8252 In
0.5000 0.5000 0.1065 Ac
0.5000 0.5000 0.6037 Tb
```

Symmetry: P4mm (99)
Total magnetic moment, μB/f.u.: 0.0
N(E_F), states/eV/cell: 4.06

***

Relative energies with respect to the most stable structure, expressed in kJ/mol of atoms: A 2.3; B 0.0.

***

A.
Entry from the Alexandria database: a relaxed structure of Ac2CdIr2 (PBE-GGA).

Geometry as POSCAR:
```
Ac2CdIr2
1.0
4.1949 0.0000 1.7869
1.2984 5.1311 2.7692
-0.0664 -0.0273 5.9732
Ir Cd Ac
2 1 2
direct
0.0000 0.7916 0.7084 Ir
0.0000 0.2084 0.2916 Ir
0.5000 0.5000 0.0000 Cd
0.7076 0.7924 0.2924 Ac
0.2924 0.2076 0.7076 Ac
```

Symmetry: Immm (71)
Total magnetic moment, μB/f.u.: 0.0
N(E_F), states/eV/cell: 2.84

***

B.
Entry from the Alexandria database: a relaxed structure of Ac2CdIr2 (PBE-GGA).

Geometry as POSCAR:
```
Ac2CdIr2
1.0
-1.5101 1.6708 5.4684
-4.2820 -2.3370 -3.6664
4.0642 -6.8376 3.2116
Ir Cd Ac
4 2 4
direct
0.0127 0.7103 0.9819 Ir
0.9873 0.2897 0.0181 Ir
0.3024 0.2897 0.5181 Ir
0.6976 0.7103 0.4819 Ir
0.1353 0.0000 0.7500 Cd
0.8647 0.0000 0.2500 Cd
0.2002 0.7101 0.3535 Ac
0.5099 0.7101 0.8535 Ac
0.7998 0.2899 0.6465 Ac
0.4901 0.2899 0.1465 Ac
```

Symmetry: C2/c (15)
Total magnetic moment, μB/f.u.: 0.0
N(E_F), states/eV/cell: 4.35

***

Relative energies with respect to the most stable structure, expressed in kJ/mol of atoms: A 1.2; B 0.0.